## a
A relaxed Ta3RhBr crystal. Source: Alexandria via LeMat-Bulk, functional PBE-GGA.

Geometry as POSCAR:
```
Ta3RhBr
1.0
4.659 0.000 0.000
0.000 4.659 0.000
0.000 0.000 4.659
Ta Rh Br
3 1 1
Direct
0.000 0.000 0.500
0.000 0.500 0.000
0.500 0.000 0.000
0.500 0.500 0.500
0.000 0.000 0.000
```

Calculated values
N(E_F) in states/eV/f.u.: 11.4
Density in g/cm³: 11.9
Crystal system: cubic

## b
A relaxed Ta3RhBr crystal. Source: Alexandria via LeMat-Bulk, functional PBE-GGA.

Geometry as POSCAR:
```
Ta3RhBr
1.0
4.883 0.000 0.000
0.000 4.883 0.000
0.000 0.000 4.883
Ta Rh Br
3 1 1
Direct
0.000 0.000 0.500
0.000 0.500 0.000
0.500 0.000 0.000
0.000 0.000 0.000
0.500 0.500 0.500
```

Calculated values
N(E_F) in states/eV/f.u.: 7.0
Density in g/cm³: 10.4
Crystal system: cubic

Compare the structures above. Which one is the most stable? b is.